CaAgCl2 | PBE | optimized geometry

a = 7.7476 Å, b = 7.7476 Å, c = 7.7476 Å
α = 125.60°, β = 125.60°, γ = 80.55°
Sites, in units of the cell vectors:
Ca1 0.0000 0.0000 0.0000
Ca2 0.7500 0.2500 0.5000
Ag1 0.2500 0.7500 0.5000
Ag2 0.5000 0.5000 0.0000
Cl1 0.0539 0.6250 0.9289
Cl2 0.3750 0.3039 0.4289
Cl3 0.6961 0.1250 0.0711
Cl4 0.8750 0.9461 0.5711

uncorrected energy = -3.238 eV per atom
density = 2451 kg/m³
total magnetization = 0.00 μB/atom


CaAgCl2 | PBE | optimized geometry

a = 4.1255 Å, b = 4.1255 Å, c = 5.6435 Å
α = 90.00°, β = 90.00°, γ = 90.00°
Sites, in units of the cell vectors:
Ca1 0.0000 0.0000 0.0000
Ag1 0.5000 0.5000 0.6514
Cl1 0.0000 0.0000 0.4935
Cl2 0.5000 0.5000 0.1525

uncorrected energy = -3.227 eV per atom
density = 3784 kg/m³
total magnetization = 0.00 μB/atom


CaAgCl2 | PBE | optimized geometry

a = 5.0948 Å, b = 5.0948 Å, c = 5.0948 Å
α = 60.00°, β = 60.00°, γ = 60.00°
Sites, in units of the cell vectors:
Ca1 0.0000 0.0000 0.0000
Ag1 0.2500 0.2500 0.2500
Cl1 0.5000 0.5000 0.5000
Cl2 0.7500 0.7500 0.7500

uncorrected energy = -2.956 eV per atom
density = 3886 kg/m³
total magnetization = 0.21 μB/atom


Ca2AgCl5 | PBE | optimized geometry

a = 8.7744 Å, b = 7.0956 Å, c = 13.6212 Å
α = 90.00°, β = 100.30°, γ = 90.00°
Sites, in units of the cell vectors:
Ca1 0.1513 0.0440 0.3821
Ca2 0.1513 0.4560 0.8821
Ca3 0.3477 0.0475 0.6991
Ca4 0.3477 0.4525 0.1991
Ca5 0.6523 0.5475 0.8009
Ca6 0.6523 0.9525 0.3009
Ca7 0.8487 0.5440 0.1179
Ca8 0.8487 0.9560 0.6179
Ag1 0.0000 0.0000 0.0000
Ag2 0.0000 0.5000 0.5000
Ag3 0.5000 0.0000 0.0000
Ag4 0.5000 0.5000 0.5000
Cl1 0.0664 0.1501 0.7537
Cl2 0.0664 0.3499 0.2537
Cl3 0.1418 0.6563 0.0573
Cl4 0.1418 0.8437 0.5573
Cl5 0.2506 0.1852 0.0442
Cl6 0.2506 0.3148 0.5442
Cl7 0.3555 0.7418 0.3427
Cl8 0.3555 0.7582 0.8427
Cl9 0.4410 0.2064 0.3545
Cl10 0.4410 0.2936 0.8545
Cl11 0.5590 0.7064 0.1455
Cl12 0.5590 0.7936 0.6455
Cl13 0.6445 0.2418 0.1573
Cl14 0.6445 0.2582 0.6573
Cl15 0.7494 0.6852 0.4558
Cl16 0.7494 0.8148 0.9558
Cl17 0.8582 0.1563 0.4427
Cl18 0.8582 0.3437 0.9427
Cl19 0.9336 0.6501 0.7463
Cl20 0.9336 0.8499 0.2463

uncorrected energy = -3.885 eV per atom
density = 2908 kg/m³
total magnetization = 0.00 μB/atom


Ca2Ag2Cl7 | PBE | optimized geometry

a = 7.3237 Å, b = 7.3237 Å, c = 6.9154 Å
α = 93.65°, β = 93.65°, γ = 113.61°
Sites, in units of the cell vectors:
Ca1 0.1826 0.8174 0.0000
Ca2 0.8174 0.1826 0.0000
Ag1 0.2337 0.2337 0.6391
Ag2 0.7663 0.7663 0.3609
Cl1 0.0666 0.4599 0.7743
Cl2 0.0700 0.0700 0.2474
Cl3 0.4599 0.0666 0.7743
Cl4 0.5000 0.5000 0.5000
Cl5 0.5401 0.9334 0.2257
Cl6 0.9300 0.9300 0.7526
Cl7 0.9334 0.5401 0.2257

uncorrected energy = -3.492 eV per atom
density = 2676 kg/m³
total magnetization = 0.05 μB/atom


CaAg2Cl4 | PBE | optimized geometry

a = 7.5338 Å, b = 7.5338 Å, c = 7.5338 Å
α = 137.75°, β = 137.75°, γ = 61.29°
Sites, in units of the cell vectors:
Ca1 0.0000 0.0000 0.0000
Ag1 0.3908 0.3908 0.0000
Ag2 0.6092 0.6092 0.0000
Cl1 0.0000 0.5000 0.5000
Cl2 0.2028 0.2028 0.0000
Cl3 0.5000 0.0000 0.5000
Cl4 0.7972 0.7972 0.0000

uncorrected energy = -3.274 eV per atom
density = 3454 kg/m³
total magnetization = 0.00 μB/atom


Ca2AgCl | PBE | optimized geometry

a = 6.6489 Å, b = 6.6489 Å, c = 4.6038 Å
α = 90.05°, β = 90.05°, γ = 33.71°
Sites, in units of the cell vectors:
Ca1 0.0000 0.0000 0.0000
Ca2 0.7387 0.7387 0.5006
Ag1 0.2803 0.2803 0.0007
Cl1 0.5210 0.5210 0.4999

uncorrected energy = -3.016 eV per atom
density = 3285 kg/m³
total magnetization = 0.00 μB/atom


Ca2AgCl | PBE | optimized geometry

a = 5.3593 Å, b = 5.3593 Å, c = 5.3593 Å
α = 60.00°, β = 60.00°, γ = 60.00°
Sites, in units of the cell vectors:
Ca1 0.2500 0.2500 0.2500
Ca2 0.7500 0.7500 0.7500
Ag1 0.0000 0.0000 0.0000
Cl1 0.5000 0.5000 0.5000

uncorrected energy = -2.858 eV per atom
density = 3409 kg/m³
total magnetization = 0.00 μB/atom


Ca2AgCl | PBE | optimized geometry

a = 8.3307 Å, b = 8.3307 Å, c = 8.3307 Å
α = 154.45°, β = 152.95°, γ = 37.55°
Sites, in units of the cell vectors:
Ca1 0.0000 0.0000 0.0000
Ca2 0.7624 0.2624 0.5000
Ag1 0.4087 0.4087 0.0000
Cl1 0.1648 0.6648 0.5000

uncorrected energy = -3.007 eV per atom
density = 3277 kg/m³
total magnetization = 0.00 μB/atom


Ca2AgCl | PBE | optimized geometry

a = 4.0453 Å, b = 4.0453 Å, c = 8.2295 Å
α = 104.18°, β = 104.18°, γ = 59.89°
Sites, in units of the cell vectors:
Ca1 0.2470 0.2470 0.2407
Ca2 0.7530 0.7530 0.7593
Ag1 0.5000 0.5000 0.0000
Cl1 0.0000 0.0000 0.5000

uncorrected energy = -3.096 eV per atom
density = 3321 kg/m³
total magnetization = 0.00 μB/atom


CaAgCl2 | PBE | optimized geometry

a = 3.8735 Å, b = 4.7152 Å, c = 4.7613 Å
α = 90.00°, β = 90.00°, γ = 90.00°
Sites, in units of the cell vectors:
Ca1 0.0000 0.0000 0.0000
Ag1 0.0000 0.5000 0.5000
Cl1 0.5000 0.0000 0.5000
Cl2 0.5000 0.5000 0.0000

uncorrected energy = -3.211 eV per atom
density = 4179 kg/m³
total magnetization = 0.00 μB/atom


Ca2AgCl | PBE | optimized geometry

a = 6.7920 Å, b = 6.7920 Å, c = 6.7920 Å
α = 111.04°, β = 111.04°, γ = 106.37°
Sites, in units of the cell vectors:
Ca1 0.1077 0.6250 0.9827
Ca2 0.3750 0.3577 0.4827
Ca3 0.6423 0.1250 0.0173
Ca4 0.8750 0.8923 0.5173
Ag1 0.2500 0.7500 0.5000
Ag2 0.5000 0.5000 0.0000
Cl1 0.0000 0.0000 0.0000
Cl2 0.7500 0.2500 0.5000

uncorrected energy = -2.964 eV per atom
density = 3084 kg/m³
total magnetization = 0.00 μB/atom


CaAgCl2 | PBE | optimized geometry

a = 7.8754 Å, b = 7.8754 Å, c = 7.8754 Å
α = 31.45°, β = 31.45°, γ = 31.45°
Sites, in units of the cell vectors:
Ca1 0.0000 0.0000 0.0000
Ag1 0.2428 0.2428 0.2428
Cl1 0.5348 0.5348 0.5348
Cl2 0.7216 0.7216 0.7216

uncorrected energy = -3.240 eV per atom
density = 3079 kg/m³
total magnetization = 0.23 μB/atom


CaAg6Cl8 | PBE | optimized geometry

a = 8.4840 Å, b = 8.4840 Å, c = 6.6282 Å
α = 90.00°, β = 90.00°, γ = 120.00°
Sites, in units of the cell vectors:
Ca1 0.0000 0.0000 0.0000
Ag1 0.0638 0.3759 0.6090
Ag2 0.3121 0.9362 0.6090
Ag3 0.3759 0.3121 0.3910
Ag4 0.6241 0.6879 0.6090
Ag5 0.6879 0.0638 0.3910
Ag6 0.9362 0.6241 0.3910
Cl1 0.1106 0.3132 0.2259
Cl2 0.2025 0.8894 0.2259
Cl3 0.3132 0.2025 0.7741
Cl4 0.3333 0.6667 0.7263
Cl5 0.6667 0.3333 0.2737
Cl6 0.6868 0.7975 0.2259
Cl7 0.7975 0.1106 0.7741
Cl8 0.8894 0.6868 0.7741

uncorrected energy = -3.046 eV per atom
density = 3902 kg/m³
total magnetization = 0.00 μB/atom


CaAg2Cl4 | PBE | optimized geometry

a = 6.3774 Å, b = 6.3774 Å, c = 6.3774 Å
α = 108.11°, β = 108.11°, γ = 112.24°
Sites, in units of the cell vectors:
Ca1 0.0000 0.0000 0.0000
Ag1 0.2500 0.7500 0.5000
Ag2 0.7500 0.2500 0.5000
Cl1 0.1786 0.6900 0.8686
Cl2 0.3100 0.1786 0.4885
Cl3 0.6900 0.8214 0.5115
Cl4 0.8214 0.3100 0.1314

uncorrected energy = -3.314 eV per atom
density = 3313 kg/m³
total magnetization = 0.00 μB/atom


CaAgCl2 | PBE | optimized geometry

a = 3.3741 Å, b = 3.3730 Å, c = 10.8489 Å
α = 90.00°, β = 94.79°, γ = 90.00°
Sites, in units of the cell vectors:
Ca1 0.0000 0.0000 0.0000
Ag1 0.5000 0.0000 0.5000
Cl1 0.4612 0.5000 0.8542
Cl2 0.5388 0.5000 0.1458

uncorrected energy = -3.389 eV per atom
density = 2954 kg/m³
total magnetization = 0.00 μB/atom


CaAg4Cl6 | PBE | optimized geometry

a = 5.2082 Å, b = 5.2082 Å, c = 10.4183 Å
α = 97.53°, β = 97.53°, γ = 88.20°
Sites, in units of the cell vectors:
Ca1 0.0000 0.0000 0.0000
Ag1 0.3436 0.3436 0.3161
Ag2 0.4122 0.9208 0.6591
Ag3 0.8178 0.8178 0.3165
Ag4 0.9208 0.4122 0.6591
Cl1 0.2948 0.8191 0.2250
Cl2 0.3954 0.3954 0.5676
Cl3 0.4770 0.9772 0.9089
Cl4 0.8191 0.2948 0.2250
Cl5 0.8903 0.8903 0.5695
Cl6 0.9772 0.4770 0.9089

uncorrected energy = -3.146 eV per atom
density = 4091 kg/m³
total magnetization = 0.00 μB/atom


CaAgCl4 | PBE | optimized geometry

a = 7.6147 Å, b = 7.6147 Å, c = 7.6147 Å
α = 105.48°, β = 105.48°, γ = 117.80°
Sites, in units of the cell vectors:
Ca1 0.0000 0.0000 0.0000
Ca2 0.7500 0.2500 0.5000
Ag1 0.2453 0.7453 0.5000
Ag2 0.4953 0.4953 0.0000
Cl1 0.0109 0.3161 0.3052
Cl2 0.0109 0.7057 0.6948
Cl3 0.0661 0.2609 0.8052
Cl4 0.4557 0.2609 0.1948
Cl5 0.4762 0.1603 0.6841
Cl6 0.4762 0.7921 0.3159
Cl7 0.5421 0.7262 0.8159
Cl8 0.9103 0.7262 0.1841

uncorrected energy = -3.367 eV per atom
density = 2877 kg/m³
total magnetization = 0.17 μB/atom


CaAg2Cl8 | PBE | optimized geometry

a = 7.8246 Å, b = 7.8246 Å, c = 7.8246 Å
α = 127.66°, β = 127.66°, γ = 77.17°
Sites, in units of the cell vectors:
Ca1 0.0000 0.0000 0.0000
Ag1 0.2500 0.7500 0.5000
Ag2 0.7500 0.2500 0.5000
Cl1 0.0574 0.5590 0.8508
Cl2 0.2067 0.0574 0.4985
Cl3 0.2918 0.4410 0.4985
Cl4 0.4410 0.9426 0.1492
Cl5 0.5590 0.7082 0.5015
Cl6 0.7082 0.2067 0.1492
Cl7 0.7933 0.2918 0.8508
Cl8 0.9426 0.7933 0.5015

uncorrected energy = -2.801 eV per atom
density = 3075 kg/m³
total magnetization = 0.00 μB/atom


Ca2AgCl | PBE | optimized geometry

a = 3.6405 Å, b = 3.6405 Å, c = 7.9397 Å
α = 90.00°, β = 90.00°, γ = 90.15°
Sites, in units of the cell vectors:
Ca1 0.0000 0.0000 0.2284
Ca2 0.0000 0.0000 0.7716
Ag1 0.5000 0.5000 0.0000
Cl1 0.5000 0.5000 0.5000

uncorrected energy = -3.033 eV per atom
density = 3527 kg/m³
total magnetization = 0.00 μB/atom


CaAg2Cl2 | PBE | optimized geometry

a = 10.9645 Å, b = 10.9645 Å, c = 10.9645 Å
α = 160.57°, β = 160.57°, γ = 27.62°
Sites, in units of the cell vectors:
Ca1 0.0000 0.0000 0.0000
Ag1 0.2500 0.7500 0.5000
Ag2 0.7500 0.2500 0.5000
Cl1 0.4279 0.4279 0.0000
Cl2 0.5721 0.5721 0.0000

uncorrected energy = -3.237 eV per atom
density = 3720 kg/m³
total magnetization = 0.00 μB/atom


CaAgCl2 | PBE | optimized geometry

a = 10.5764 Å, b = 10.5764 Å, c = 10.5764 Å
α = 21.14°, β = 21.14°, γ = 21.14°
Sites, in units of the cell vectors:
Ca1 0.0000 0.0000 0.0000
Ag1 0.5000 0.5000 0.5000
Cl1 0.3826 0.3826 0.3826
Cl2 0.6174 0.6174 0.6174

uncorrected energy = -3.484 eV per atom
density = 2695 kg/m³
total magnetization = 0.00 μB/atom


Ca2AgCl | PBE | optimized geometry

a = 3.6417 Å, b = 3.6417 Å, c = 9.4852 Å
α = 90.00°, β = 90.00°, γ = 90.00°
Sites, in units of the cell vectors:
Ca1 0.0000 0.0000 0.0000
Ca2 0.5000 0.5000 0.3310
Ag1 0.5000 0.5000 0.8145
Cl1 0.0000 0.0000 0.4652

uncorrected energy = -2.932 eV per atom
density = 2950 kg/m³
total magnetization = 0.00 μB/atom


CaAgCl2 | PBE | optimized geometry

a = 6.2274 Å, b = 6.2274 Å, c = 6.2274 Å
α = 143.62°, β = 124.59°, γ = 68.11°
Sites, in units of the cell vectors:
Ca1 0.0000 0.0000 0.0000
Ag1 0.5000 0.5000 0.0000
Cl1 0.1747 0.6747 0.5000
Cl2 0.8253 0.3253 0.5000

uncorrected energy = -3.288 eV per atom
density = 3129 kg/m³
total magnetization = 0.00 μB/atom


Ca2Ag2Cl7 | PBE | optimized geometry

a = 10.6600 Å, b = 10.6600 Å, c = 3.9808 Å
α = 100.75°, β = 100.75°, γ = 121.14°
Sites, in units of the cell vectors:
Ca1 0.1394 0.8606 0.0000
Ca2 0.8606 0.1394 0.0000
Ag1 0.3202 0.3202 0.8221
Ag2 0.6798 0.6798 0.1779
Cl1 0.0283 0.3441 0.6863
Cl2 0.1581 0.1581 0.1608
Cl3 0.3441 0.0283 0.6863
Cl4 0.5000 0.5000 0.5000
Cl5 0.6559 0.9717 0.3137
Cl6 0.8419 0.8419 0.8392
Cl7 0.9717 0.6559 0.3137

uncorrected energy = -3.427 eV per atom
density = 2522 kg/m³
total magnetization = 0.00 μB/atom